1.
Density functional theory data (PBE-GGA) for Y2IrPbF after structural relaxation.

a = 5.770 Å, b = 5.770 Å, c = 4.368 Å
α = 90.00°, β = 90.00°, γ = 90.00°
Sites, in units of the cell vectors:
1 Y 0.000 0.500 0.000
2 Y 0.500 0.000 0.000
3 Ir 0.000 0.000 0.500
4 Pb 0.500 0.500 0.000
5 F 0.500 0.500 0.500

Summary:
* size of the total moment: 0.0 μB per formula unit
* ΔE_f (raw): 0.173 eV per atom
* V: 29.09 A^3/atom
* energy: -0.1948 hartree per atom

2.
Density functional theory data (PBE-GGA) for IrPdF2 after structural relaxation.

a = 2.726 Å, b = 2.726 Å, c = 24.218 Å
α = 90.00°, β = 90.00°, γ = 120.00°
Sites, in units of the cell vectors:
1 Ir 0.000 0.000 0.000
2 Ir 0.333 0.667 0.667
3 Ir 0.667 0.333 0.333
4 Pd 0.000 0.000 0.500
5 Pd 0.333 0.667 0.167
6 Pd 0.667 0.333 0.833
7 F 0.000 0.000 0.081
8 F 0.000 0.000 0.919
9 F 0.333 0.667 0.585
10 F 0.333 0.667 0.748
11 F 0.667 0.333 0.252
12 F 0.667 0.333 0.415

Summary:
* size of the total moment: 0.5 μB per formula unit
* polymorph energy (0 for the lowest one): 0.00 kcal/mol of atoms
* ΔE_f (raw): -0.535 eV per atom
* V: 12.98 A^3/atom
* energy: -0.1832 hartree per atom

3.
Density functional theory data (PBE-GGA) for IrPd3F after structural relaxation.

a = 4.840 Å, b = 4.840 Å, c = 4.840 Å
α = 90.00°, β = 90.00°, γ = 90.00°
Sites, in units of the cell vectors:
1 Ir 0.000 0.000 0.000
2 Pd 0.000 0.000 0.500
3 Pd 0.000 0.500 0.000
4 Pd 0.500 0.000 0.000
5 F 0.500 0.500 0.500

Summary:
* size of the total moment: 0.0 μB per formula unit
* ΔE_f (raw): 0.948 eV per atom
* V: 22.68 A^3/atom
* energy: -0.1585 hartree per atom

4.
Density functional theory data (PBE-GGA) for Ir2PdF8 after structural relaxation.

a = 4.028 Å, b = 6.238 Å, c = 6.269 Å
α = 76.22°, β = 76.16°, γ = 76.23°
Sites, in units of the cell vectors:
1 Ir 0.115 0.372 0.372
2 Ir 0.885 0.628 0.628
3 Pd 0.000 0.000 0.000
4 F 0.147 0.610 0.108
5 F 0.149 0.107 0.608
6 F 0.311 0.140 0.141
7 F 0.372 0.643 0.647
8 F 0.628 0.357 0.353
9 F 0.689 0.860 0.859
10 F 0.851 0.893 0.392
11 F 0.853 0.390 0.892

Summary:
* size of the total moment: 0.7 μB per formula unit
* ΔE_f (raw): -1.140 eV per atom
* V: 13.25 A^3/atom
* energy: -0.1685 hartree per atom

5.
Density functional theory data (PBE-GGA) for IrPdF2 after structural relaxation.

a = 2.728 Å, b = 2.728 Å, c = 24.537 Å
α = 90.00°, β = 90.00°, γ = 120.00°
Sites, in units of the cell vectors:
1 Ir 0.000 0.000 0.000
2 Ir 0.333 0.667 0.667
3 Ir 0.667 0.333 0.333
4 Pd 0.000 0.000 0.500
5 Pd 0.333 0.667 0.167
6 Pd 0.667 0.333 0.833
7 F 0.000 0.000 0.419
8 F 0.000 0.000 0.581
9 F 0.333 0.667 0.085
10 F 0.333 0.667 0.248
11 F 0.667 0.333 0.752
12 F 0.667 0.333 0.915

Summary:
* size of the total moment: 1.7 μB per formula unit
* polymorph energy (0 for the lowest one): 6.57 kcal/mol of atoms
* ΔE_f (raw): -0.250 eV per atom
* V: 13.18 A^3/atom
* energy: -0.1727 hartree per atom

6.
Density functional theory data (PBE-GGA) for Ir3PdF after structural relaxation.

a = 4.807 Å, b = 4.807 Å, c = 4.807 Å
α = 90.00°, β = 90.00°, γ = 90.00°
Sites, in units of the cell vectors:
1 Ir 0.000 0.000 0.500
2 Ir 0.000 0.500 0.000
3 Ir 0.500 0.000 0.000
4 Pd 0.000 0.000 0.000
5 F 0.500 0.500 0.500

Summary:
* size of the total moment: 5.2 μB per formula unit
* polymorph energy (0 for the lowest one): 20.15 kcal/mol of atoms
* ΔE_f (raw): 2.215 eV per atom
* V: 22.21 A^3/atom
* energy: -0.1659 hartree per atom

> energy of number 1 (Y2IrPbF)?

-0.1948 hartree per atom